Record 1
8
Lattice="1.436 -11.379 0.000 1.436 11.379 0.000 0.000 0.000 5.382" Properties=species:S:1:pos:R:3 comment="NaGaSe2 (PBE-GGA, optimized geometry)" magmom_total_mub_per_fu=0.00 space_group="No. 63" dos_at_fermi_per_ev_cell=2.71 e_form_raw_ev_per_atom=-0.4458 rho_g_cm3=4.73 pbc="T T T"
Na 1.436 4.164 1.345
Na 1.436 -4.164 4.036
Ga 1.436 9.915 1.345
Ga 1.436 -9.915 4.036
Se 1.436 7.207 1.345
Se 1.436 -7.207 4.036
Se 1.436 -10.023 1.345
Se 1.436 10.023 4.036

***

Record 2
4
Lattice="4.747 0.000 0.000 2.373 4.111 0.000 2.373 1.370 3.876" Properties=species:S:1:pos:R:3 comment="ScPtSe2 (PBE-GGA, optimized geometry)" magmom_total_mub_per_fu=0.00 space_group="No. 216" dos_at_fermi_per_ev_cell=3.50 e_form_raw_ev_per_atom=-0.3904 rho_g_cm3=8.74 polymorph_energy_kj_per_mol_atoms=58.6 pbc="T T T"
Pt 4.747 2.740 1.938
Sc 2.373 1.370 0.969
Se 0.000 0.000 0.000
Se 7.120 4.111 2.907

***

Record 3
38
Lattice="-1.760 -3.768 -0.545 8.939 -3.779 -2.738 4.264 -5.006 20.831" Properties=species:S:1:pos:R:3 comment="Ni8Bi8SI2 (PBE-GGA, optimized geometry)" magmom_total_mub_per_fu=0.00 space_group="No. 18" dos_at_fermi_per_ev_cell=23.43 e_form_raw_ev_per_atom=-0.1765 rho_g_cm3=8.73 pbc="T T T"
Ni 5.637 -8.873 18.954
Ni 4.930 -5.557 -1.679
Ni 9.099 -6.673 8.653
Ni 3.222 -4.002 9.166
Ni 5.178 -3.576 0.002
Ni 7.153 -7.077 17.820
Ni 1.239 -5.249 8.017
Ni 9.319 -9.202 9.255
Ni 2.659 -2.364 -0.182
Ni 9.680 -8.275 18.006
Ni 8.020 -8.263 6.895
Ni 2.530 -6.203 10.375
Ni 2.983 -4.915 0.201
Ni 7.588 -9.508 17.076
Ni 9.716 -6.566 5.894
Ni 2.601 -4.116 11.924
Bi 3.679 -3.194 2.231
Bi 8.655 -7.452 15.592
Bi 7.994 -7.853 4.178
Bi 2.560 -6.606 13.093
Bi 0.546 -3.858 0.750
Bi 10.023 -10.567 16.526
Bi 7.357 -5.596 6.813
Bi 4.962 -5.084 11.005
Bi 4.932 -6.236 19.190
Bi 7.401 -4.414 -1.367
Bi 6.831 -8.053 9.328
Bi 3.725 -6.402 7.944
Bi 5.312 -6.122 0.980
Bi 5.254 -8.311 16.295
Bi 2.536 -3.308 6.601
Bi 9.787 -7.363 11.219
S 3.596 -3.760 -1.640
S 1.246 -4.400 10.141
I 3.014 -4.915 16.416
I 9.337 -5.696 1.412
I 6.192 -8.294 12.885
I 4.345 -6.200 4.381

***

Record 4
20
Lattice="9.005 2.011 -4.341 0.521 9.117 -4.362 -2.333 -2.644 10.744" Properties=species:S:1:pos:R:3 comment="La3Pm5Y2 (PBE-GGA, optimized geometry)" magmom_total_mub_per_fu=0.00 space_group="No. 15" dos_at_fermi_per_ev_cell=32.90 rho_g_cm3=6.25 formation_enthalpy_0k_ev_per_atom=0.17 pbc="T T T"
La 0.312 6.822 4.962
La 6.881 1.661 -2.922
La 6.170 5.062 -2.518
La 1.023 3.421 4.559
La 0.055 6.504 -0.852
La 7.138 1.979 2.893
Pm 2.597 5.164 -3.041
Pm 4.595 3.319 5.082
Pm -0.705 5.600 2.287
Pm 3.593 2.115 2.444
Pm 7.898 2.883 -0.246
Pm 3.600 6.369 -0.403
Pm 6.323 5.400 1.567
Pm 0.869 3.083 0.474
Pm 1.796 -0.049 5.777
Pm 5.397 8.532 -3.736
Y 5.261 -0.224 4.550
Y 1.931 8.708 -2.509
Y 2.864 5.583 2.809
Y 4.329 2.901 -0.768